Entry 1:
Below is AgP2PbS at its PBEsol-relaxed geometry, with properties calculated at the meta-GGA SCAN level. Values from VASP.

Values from the calculation:
E_form (uncorrected), meV per atom: 792.1
Crystal system: tetragonal
N(E_F), states/eV per atom: 0.64

Geometry as Quantum ESPRESSO input:
```
&SYSTEM
  ibrav = 0, nat = 5, ntyp = 4
/
ATOMIC_SPECIES
Ag 107.87 Ag.upf
P 30.97 P.upf
Pb 207.20 Pb.upf
S 32.06 S.upf
CELL_PARAMETERS angstrom
4.726 0.000 0.000
0.000 4.726 0.000
0.000 0.000 4.968
ATOMIC_POSITIONS angstrom
Ag 0.000 0.000 0.000
P 0.000 2.363 0.000
P 2.363 0.000 0.000
Pb 2.363 2.363 2.484
S 0.000 0.000 2.484
```


Entry 2:
Below is AgP2Pd2 at its PBEsol-relaxed geometry, with properties calculated at the meta-GGA SCAN level. Values from VASP.

Values from the calculation:
Crystal system: tetragonal
Formation energy, eV per atom: 0.056
N(E_F), states/eV per atom: 0.47

Geometry as Quantum ESPRESSO input:
```
&SYSTEM
  ibrav = 0, nat = 5, ntyp = 3
/
ATOMIC_SPECIES
Ag 107.87 Ag.upf
P 30.97 P.upf
Pd 106.42 Pd.upf
CELL_PARAMETERS angstrom
-1.727 1.727 6.422
1.727 -1.727 6.422
1.727 1.727 -6.422
ATOMIC_POSITIONS angstrom
Ag 0.000 0.000 0.000
P 1.727 0.000 3.211
P 0.000 1.727 3.211
Pd 0.000 0.000 5.007
Pd 0.000 0.000 7.837
```


Entry 3:
Below is AgPPdS2 at its PBEsol-relaxed geometry, with properties calculated at the meta-GGA SCAN level. Values from VASP.

Values from the calculation:
E_form (uncorrected), meV per atom: 1195.7
Crystal system: tetragonal
N(E_F), states/eV per atom: 0.88
Polymorph energy (0 for the lowest one), eV/f.u.: 2.67

Geometry as Quantum ESPRESSO input:
```
&SYSTEM
  ibrav = 0, nat = 5, ntyp = 4
/
ATOMIC_SPECIES
Ag 107.87 Ag.upf
P 30.97 P.upf
Pd 106.42 Pd.upf
S 32.06 S.upf
CELL_PARAMETERS angstrom
4.695 0.000 0.000
0.000 4.695 0.000
0.000 0.000 4.658
ATOMIC_POSITIONS angstrom
Ag 0.000 0.000 0.000
P 0.000 0.000 2.329
Pd 2.347 2.347 2.329
S 0.000 2.347 0.000
S 2.347 0.000 0.000
```


Entry 4:
Below is AgP2PdS at its PBEsol-relaxed geometry, with properties calculated at the meta-GGA SCAN level. Values from VASP.

Values from the calculation:
E_form (uncorrected), meV per atom: 797.8
Crystal system: tetragonal
N(E_F), states/eV per atom: 0.61

Geometry as Quantum ESPRESSO input:
```
&SYSTEM
  ibrav = 0, nat = 5, ntyp = 4
/
ATOMIC_SPECIES
Ag 107.87 Ag.upf
P 30.97 P.upf
Pd 106.42 Pd.upf
S 32.06 S.upf
CELL_PARAMETERS angstrom
4.523 0.000 0.000
0.000 4.523 0.000
0.000 0.000 4.898
ATOMIC_POSITIONS angstrom
Ag 0.000 0.000 0.000
P 0.000 2.262 2.449
P 2.262 0.000 2.449
Pd 2.262 2.262 2.449
S 2.262 2.262 0.000
```


Entry 5:
Below is AgPPdS2 at its PBEsol-relaxed geometry, with properties calculated at the meta-GGA SCAN level. Values from VASP.

Values from the calculation:
E_form (uncorrected), meV per atom: 662.5
Crystal system: tetragonal
N(E_F), states/eV per atom: 0.77
Polymorph energy (0 for the lowest one), eV/f.u.: 0.00

Geometry as Quantum ESPRESSO input:
```
&SYSTEM
  ibrav = 0, nat = 5, ntyp = 4
/
ATOMIC_SPECIES
Ag 107.87 Ag.upf
P 30.97 P.upf
Pd 106.42 Pd.upf
S 32.06 S.upf
CELL_PARAMETERS angstrom
4.800 0.000 0.000
0.000 4.800 0.000
0.000 0.000 4.383
ATOMIC_POSITIONS angstrom
Ag 0.000 0.000 0.000
P 2.400 2.400 0.000
Pd 2.400 2.400 2.192
S 0.000 2.400 2.192
S 2.400 0.000 2.192
```


Entry 6:
Below is PrZnAgP2 at its PBEsol-relaxed geometry, with properties calculated at the meta-GGA SCAN level. Values from VASP.

Values from the calculation:
Crystal system: trigonal
Formation energy, eV per atom: -0.763

Geometry as Quantum ESPRESSO input:
```
&SYSTEM
  ibrav = 0, nat = 5, ntyp = 4
/
ATOMIC_SPECIES
Pr 140.91 Pr.upf
Zn 65.41 Zn.upf
Ag 107.87 Ag.upf
P 30.97 P.upf
CELL_PARAMETERS angstrom
4.124 0.000 0.000
-2.062 3.571 0.000
0.000 0.000 6.712
ATOMIC_POSITIONS angstrom
Pr 0.000 0.000 0.000
Zn 0.000 2.381 4.131
Ag 2.062 1.190 2.352
P 0.000 2.381 1.622
P 2.062 1.190 4.926
```


Entry 7:
Below is AgP2Pt at its PBEsol-relaxed geometry, with properties calculated at the meta-GGA SCAN level. Values from VASP.

Values from the calculation:
Crystal system: monoclinic
Formation energy, eV per atom: -0.140
N(E_F), states/eV per atom: 0.40
Polymorph energy (0 for the lowest one), eV/f.u.: 0.06

Geometry as Quantum ESPRESSO input:
```
&SYSTEM
  ibrav = 0, nat = 4, ntyp = 3
/
ATOMIC_SPECIES
Ag 107.87 Ag.upf
P 30.97 P.upf
Pt 195.08 Pt.upf
CELL_PARAMETERS angstrom
4.061 0.000 0.000
0.000 3.899 0.000
-0.246 0.000 4.276
ATOMIC_POSITIONS angstrom
Ag 0.000 0.000 0.000
P 0.720 1.949 2.815
P 3.095 1.949 1.461
Pt 1.908 0.000 2.138
```


Entry 8:
Below is AgP2Pt at its PBEsol-relaxed geometry, with properties calculated at the meta-GGA SCAN level. Values from VASP.

Values from the calculation:
Crystal system: cubic
Formation energy, eV per atom: 0.611
N(E_F), states/eV per atom: 0.36
Polymorph energy (0 for the lowest one), eV/f.u.: 3.07

Geometry as Quantum ESPRESSO input:
```
&SYSTEM
  ibrav = 0, nat = 4, ntyp = 3
/
ATOMIC_SPECIES
Ag 107.87 Ag.upf
P 30.97 P.upf
Pt 195.08 Pt.upf
CELL_PARAMETERS angstrom
0.000 3.131 3.131
3.131 0.000 3.131
3.131 3.131 0.000
ATOMIC_POSITIONS angstrom
Ag 0.000 0.000 0.000
P 1.566 1.566 1.566
P 3.131 3.131 3.131
Pt 4.697 4.697 4.697
```


Entry 9:
Below is AgP2Pt at its PBEsol-relaxed geometry, with properties calculated at the meta-GGA SCAN level. Values from VASP.

Values from the calculation:
Crystal system: monoclinic
Formation energy, eV per atom: -0.156
N(E_F), states/eV per atom: 0.32
Polymorph energy (0 for the lowest one), eV/f.u.: 0.00

Geometry as Quantum ESPRESSO input:
```
&SYSTEM
  ibrav = 0, nat = 4, ntyp = 3
/
ATOMIC_SPECIES
Ag 107.87 Ag.upf
P 30.97 P.upf
Pt 195.08 Pt.upf
CELL_PARAMETERS angstrom
3.387 -1.840 0.000
3.387 1.840 0.000
-0.438 0.000 5.506
ATOMIC_POSITIONS angstrom
Ag 0.000 0.000 0.000
P 2.483 0.000 3.790
P 4.870 0.000 1.691
Pt 0.338 0.000 2.765
```


Entry 10:
Below is ReAgP2Pt at its PBEsol-relaxed geometry, with properties calculated at the meta-GGA SCAN level. Values from VASP.

Values from the calculation:
Crystal system: tetragonal
Formation energy, eV per atom: 2.145
N(E_F), states/eV per atom: 0.76

Geometry as Quantum ESPRESSO input:
```
&SYSTEM
  ibrav = 0, nat = 5, ntyp = 4
/
ATOMIC_SPECIES
Re 186.21 Re.upf
Ag 107.87 Ag.upf
P 30.97 P.upf
Pt 195.08 Pt.upf
CELL_PARAMETERS angstrom
4.459 0.000 0.000
0.000 4.459 0.000
0.000 0.000 4.987
ATOMIC_POSITIONS angstrom
Re 0.000 0.000 0.000
Ag 0.000 0.000 2.494
P 0.000 2.230 2.494
P 2.230 0.000 2.494
Pt 2.230 2.230 0.000
```


Entry 11:
Below is Y2AgPPt at its PBEsol-relaxed geometry, with properties calculated at the meta-GGA SCAN level. Values from VASP.

Values from the calculation:
Crystal system: tetragonal
Formation energy, eV per atom: 0.113
N(E_F), states/eV per atom: 0.68

Geometry as Quantum ESPRESSO input:
```
&SYSTEM
  ibrav = 0, nat = 5, ntyp = 4
/
ATOMIC_SPECIES
Y 88.91 Y.upf
Ag 107.87 Ag.upf
P 30.97 P.upf
Pt 195.08 Pt.upf
CELL_PARAMETERS angstrom
5.371 0.000 0.000
0.000 5.371 0.000
0.000 0.000 4.302
ATOMIC_POSITIONS angstrom
Y 0.000 2.686 0.000
Y 2.686 0.000 0.000
Ag 0.000 0.000 0.000
P 0.000 0.000 2.151
Pt 2.686 2.686 2.151
```


Entry 12:
Below is RbAg2P at its PBEsol-relaxed geometry, with properties calculated at the meta-GGA SCAN level. Values from VASP.

Values from the calculation:
Crystal system: tetragonal
Formation energy, eV per atom: -0.195

Geometry as Quantum ESPRESSO input:
```
&SYSTEM
  ibrav = 0, nat = 8, ntyp = 3
/
ATOMIC_SPECIES
Rb 85.47 Rb.upf
Ag 107.87 Ag.upf
P 30.97 P.upf
CELL_PARAMETERS angstrom
-2.831 2.831 7.542
2.831 -2.831 7.542
2.831 2.831 -7.542
ATOMIC_POSITIONS angstrom
Rb 2.831 1.416 1.886
Rb 0.000 1.416 5.657
Ag 0.000 0.000 0.000
Ag 1.416 1.416 -3.771
Ag 1.416 -1.416 3.771
Ag 0.000 2.831 0.000
P 2.831 -1.416 5.657
P 0.000 4.247 1.886
```


Please write out number 7 again, unchanged.
Below is AgP2Pt at its PBEsol-relaxed geometry, with properties calculated at the meta-GGA SCAN level. Values from VASP.

Values from the calculation:
Crystal system: monoclinic
Formation energy, eV per atom: -0.140
N(E_F), states/eV per atom: 0.40
Polymorph energy (0 for the lowest one), eV/f.u.: 0.06

Geometry as Quantum ESPRESSO input:
```
&SYSTEM
  ibrav = 0, nat = 4, ntyp = 3
/
ATOMIC_SPECIES
Ag 107.87 Ag.upf
P 30.97 P.upf
Pt 195.08 Pt.upf
CELL_PARAMETERS angstrom
4.061 0.000 0.000
0.000 3.899 0.000
-0.246 0.000 4.276
ATOMIC_POSITIONS angstrom
Ag 0.000 0.000 0.000
P 0.720 1.949 2.815
P 3.095 1.949 1.461
Pt 1.908 0.000 2.138
```


What did the seventh record say?
Below is AgP2Pt at its PBEsol-relaxed geometry, with properties calculated at the meta-GGA SCAN level. Values from VASP.

Values from the calculation:
Crystal system: monoclinic
Formation energy, eV per atom: -0.140
N(E_F), states/eV per atom: 0.40
Polymorph energy (0 for the lowest one), eV/f.u.: 0.06

Geometry as Quantum ESPRESSO input:
```
&SYSTEM
  ibrav = 0, nat = 4, ntyp = 3
/
ATOMIC_SPECIES
Ag 107.87 Ag.upf
P 30.97 P.upf
Pt 195.08 Pt.upf
CELL_PARAMETERS angstrom
4.061 0.000 0.000
0.000 3.899 0.000
-0.246 0.000 4.276
ATOMIC_POSITIONS angstrom
Ag 0.000 0.000 0.000
P 0.720 1.949 2.815
P 3.095 1.949 1.461
Pt 1.908 0.000 2.138
```